DFT (PBE) results for a relaxed structure of Cd2HgMo.

Properties
Energy: -2.79 eV per atom
Symmetry: No. 47
Crystal system: orthorhombic

Cell: 2.9485 4.4094 6.0959 Å, 90.00 90.00 90.00°
Positions (direct):
Cd1 0.0000 0.0000 0.2322
Cd2 0.0000 0.0000 0.7678
Hg1 0.5000 0.5000 0.5000
Mo1 0.5000 0.5000 0.0000